No. 1
Here is Rb2ThNp3O12 after structural relaxation from Alexandria. Energies are from GGA-PBE.

## Properties
SG = R-3m
Crystal system = trigonal
DOS at the Fermi energy = 5.626 states/eV/f.u.

Lattice parameters (Å, degrees): 7.910 7.910 7.910 60.83 60.83 60.83
Each line ends with the local moment (μB).
Sites, in units of the cell vectors:
O  0.306  0.930  0.306  -0.06
O  0.923  0.347  0.923  -0.04
O  0.694  0.070  0.694  -0.06
O  0.923  0.923  0.347  -0.04
O  0.070  0.694  0.694  -0.06
O  0.694  0.694  0.070  -0.06
O  0.077  0.653  0.077  -0.04
O  0.306  0.306  0.930  -0.06
O  0.653  0.077  0.077  -0.04
O  0.930  0.306  0.306  -0.06
O  0.347  0.923  0.923  -0.04
O  0.077  0.077  0.653  -0.04
Np  0.000  0.000  0.500  1.20
Np  0.500  0.000  0.000  1.20
Np  0.000  0.500  0.000  1.20
Rb  0.367  0.367  0.367  0.00
Rb  0.633  0.633  0.633  0.00
Th  0.000  0.000  0.000  -0.02



No. 2
Here is RbNpTiO6 after structural relaxation from Alexandria. Energies are from GGA-PBE.

## Properties
SG = Imma
Crystal system = orthorhombic

Lattice parameters (Å, degrees): 7.197 7.869 7.504 121.62 118.66 90.00
Sites, in units of the cell vectors:
Np  0.500  0.000  0.000
Np  0.500  0.500  0.000
Rb  0.896  0.646  0.792
Rb  0.104  0.354  0.208
O  0.197  0.947  0.393
O  0.427  0.055  0.244
O  0.427  0.688  0.244
O  0.816  0.688  0.244
O  0.184  0.945  0.756
O  0.816  0.055  0.244
O  0.803  0.053  0.607
O  0.573  0.945  0.756
O  0.578  0.328  0.155
O  0.422  0.672  0.845
O  0.184  0.312  0.756
O  0.573  0.312  0.756
Ti  0.000  0.000  0.500
Ti  0.500  0.000  0.500



No. 3
Here is RbNp2TiO8 after structural relaxation from Alexandria. Energies are from GGA-PBE.

## Properties
SG = P-1
Crystal system = triclinic
DOS at the Fermi energy = 5.855 states/eV/f.u.

Lattice parameters (Å, degrees): 5.016 5.008 7.281 87.98 88.04 85.91
Each line ends with the local moment (μB).
Sites, in units of the cell vectors:
O  0.349  0.345  0.439  -0.08
O  0.302  0.300  0.989  -0.06
O  0.802  0.207  0.812  -0.06
O  0.795  0.200  0.188  -0.06
O  0.651  0.655  0.561  -0.08
O  0.198  0.793  0.188  -0.06
O  0.205  0.800  0.812  -0.06
O  0.698  0.700  0.011  -0.06
Rb  0.000  0.000  0.500  0.00
Np  0.518  0.517  0.231  1.72
Np  0.482  0.483  0.769  1.72
Ti  0.000  0.000  0.000  0.07



Per-record E_form (uncorrected), eV/atom: -2.826 -2.591 -2.582